# CaTbSnRh | Alexandria | PBE-GGA | optimized geometry
data_CaTbSnRh
_space_group_name_H-M_alt 'F -4 3 m'
_space_group_IT_number 216
_space_group_name_Hall 'F -4 2 3'
_cell_length_a 7.2387
_cell_length_b 7.2387
_cell_length_c 7.2387
_cell_angle_alpha 90.00
_cell_angle_beta 90.00
_cell_angle_gamma 90.00
loop_
_atom_site_label
_atom_site_type_symbol
_atom_site_fract_x
_atom_site_fract_y
_atom_site_fract_z
Ca1 Ca 0.0000 0.0000 0.0000
Tb1 Tb 0.0000 0.0000 0.5000
Sn1 Sn 0.2500 0.2500 0.2500
Rh1 Rh 0.2500 0.2500 0.7500
# * calculated volume: 23.71 A^3/atom
# * E_form: -0.55 eV/atom
# * N(E_F): 9.9 states/eV per cell
# * crystal system: cubic
# * total DFT energy (no corrections): -80.7 eV/cell
# * M_tot: 0.00 μB/atom

# Tl6ZnIn12 | Alexandria | PBE-GGA | optimized geometry
data_Tl6ZnIn12
_space_group_name_H-M_alt 'R -3'
_space_group_IT_number 148
_space_group_name_Hall '-R 3'
_cell_length_a 12.2018
_cell_length_b 12.2018
_cell_length_c 12.8253
_cell_angle_alpha 90.00
_cell_angle_beta 90.00
_cell_angle_gamma 120.00
loop_
_atom_site_label
_atom_site_type_symbol
_atom_site_fract_x
_atom_site_fract_y
_atom_site_fract_z
Tl1 Tl 0.0548 0.8656 0.2788
Zn1 Zn 0.0000 0.0000 0.5000
In1 In 0.0684 0.5918 0.2197
In2 In 0.0928 0.8696 0.9195
# * calculated volume: 29.01 A^3/atom
# * E_form: 0.07 eV/atom
# * N(E_F): 25.5 states/eV per cell
# * crystal system: trigonal
# * total DFT energy (no corrections): -141.0 eV/cell
# * M_tot: 0.00 μB/atom

# Pm12Ho7Mg | Alexandria | PBE-GGA | optimized geometry
data_Pm12Ho7Mg
_space_group_name_H-M_alt 'R -3'
_space_group_IT_number 148
_space_group_name_Hall '-R 3'
_cell_length_a 13.3941
_cell_length_b 13.3941
_cell_length_c 12.7129
_cell_angle_alpha 90.00
_cell_angle_beta 90.00
_cell_angle_gamma 120.00
loop_
_atom_site_label
_atom_site_type_symbol
_atom_site_fract_x
_atom_site_fract_y
_atom_site_fract_z
Pm1 Pm 0.9997 0.2613 0.9999
Pm2 Pm 0.0882 0.9109 0.7640
Ho1 Ho 0.0000 0.0000 0.0000
Ho2 Ho 0.0500 0.5250 0.1169
Mg1 Mg 0.0000 0.0000 0.5000
# * calculated volume: 32.92 A^3/atom
# * E_form: 0.08 eV/atom
# * N(E_F): 93.7 states/eV per cell
# * crystal system: trigonal
# * total DFT energy (no corrections): -267.3 eV/cell
# * M_tot: 0.00 μB/atom

# Y16B4C8I19 | Alexandria | PBE-GGA | optimized geometry
data_Y16B4C8I19
_space_group_name_H-M_alt 'P -1'
_space_group_IT_number 2
_space_group_name_Hall '-P 1'
_cell_length_a 12.6023
_cell_length_b 15.0538
_cell_length_c 19.8515
_cell_angle_alpha 74.78
_cell_angle_beta 89.92
_cell_angle_gamma 67.11
loop_
_atom_site_label
_atom_site_type_symbol
_atom_site_fract_x
_atom_site_fract_y
_atom_site_fract_z
Y1 Y 0.0514 0.1491 0.2195
Y2 Y 0.0645 0.1500 0.7203
Y3 Y 0.1003 0.7715 0.6291
Y4 Y 0.1010 0.7726 0.9588
Y5 Y 0.1078 0.7727 0.4589
Y6 Y 0.1091 0.7718 0.1289
Y7 Y 0.1328 0.9995 0.4081
Y8 Y 0.1329 0.9993 0.0919
Y9 Y 0.1365 0.0003 0.5920
Y10 Y 0.1375 0.9985 0.9081
Y11 Y 0.1679 0.2115 0.4567
Y12 Y 0.1713 0.2085 0.9541
Y13 Y 0.1889 0.8492 0.2806
Y14 Y 0.2027 0.8486 0.7796
Y15 Y 0.3633 0.7857 0.0431
Y16 Y 0.3640 0.7892 0.5462
B1 B 0.0070 0.0011 0.7946
B2 B 0.0078 0.9990 0.7053
B3 B 0.0310 0.9326 0.0135
B4 B 0.0309 0.9326 0.5135
C1 C 0.0418 0.8989 0.3564
C2 C 0.0430 0.8952 0.1851
C3 C 0.0494 0.1289 0.9746
C4 C 0.0509 0.1277 0.4740
C5 C 0.0511 0.8990 0.8565
C6 C 0.0529 0.8953 0.6850
C7 C 0.1682 0.8700 0.5255
C8 C 0.1685 0.8711 0.0261
I1 I 0.0141 0.6053 0.1444
I2 I 0.0479 0.5972 0.5489
I3 I 0.1060 0.2882 0.2954
I4 I 0.1071 0.2886 0.0819
I5 I 0.1293 0.6441 0.3364
I6 I 0.1957 0.6442 0.8349
I7 I 0.2453 0.1600 0.6136
I8 I 0.2640 0.1355 0.8232
I9 I 0.3032 0.9980 0.2496
I10 I 0.3263 0.5957 0.0448
I11 I 0.3507 0.6045 0.6457
I12 I 0.3611 0.2983 0.4368
I13 I 0.3636 0.2977 0.9362
I14 I 0.3701 0.7066 0.2045
I15 I 0.3706 0.9996 0.4497
I16 I 0.3711 0.9975 0.0500
I17 I 0.3731 0.7090 0.4184
I18 I 0.3894 0.8629 0.6766
I19 I 0.3933 0.8383 0.8860
# * uncorrected formation energy: -1.055 eV per atom
# * calculated volume: 35.39 A^3/atom
# * N(E_F): 11.2 states/eV per cell
# * crystal system: triclinic
# * total DFT energy (no corrections): -565.9 eV/cell
# * M_tot: 0.00 μB/atom

# MgBNF2 | Alexandria | PBE-GGA | optimized geometry
data_MgBNF2
_space_group_name_H-M_alt 'P 4/m m m'
_space_group_IT_number 123
_space_group_name_Hall '-P 4 2'
_cell_length_a 3.6979
_cell_length_b 3.6979
_cell_length_c 4.9223
_cell_angle_alpha 90.00
_cell_angle_beta 90.00
_cell_angle_gamma 90.00
loop_
_atom_site_label
_atom_site_type_symbol
_atom_site_fract_x
_atom_site_fract_y
_atom_site_fract_z
Mg1 Mg 0.0000 0.0000 0.0000
B1 B 0.5000 0.5000 0.5000
N1 N 0.0000 0.0000 0.5000
F1 F 0.0000 0.5000 0.0000
# * uncorrected formation energy: -0.138 eV per atom
# * calculated volume: 13.46 A^3/atom
# * N(E_F): 1.1 states/eV per cell
# * crystal system: tetragonal
# * total DFT energy (no corrections): -21.0 eV/cell
# * M_tot: 0.38 μB/atom

# Sr3LiNi | Alexandria | PBE-GGA | optimized geometry
data_Sr3LiNi
_space_group_name_H-M_alt 'P m -3 m'
_space_group_IT_number 221
_space_group_name_Hall '-P 4 2 3'
_cell_length_a 5.8405
_cell_length_b 5.8405
_cell_length_c 5.8405
_cell_angle_alpha 90.00
_cell_angle_beta 90.00
_cell_angle_gamma 90.00
loop_
_atom_site_label
_atom_site_type_symbol
_atom_site_fract_x
_atom_site_fract_y
_atom_site_fract_z
Sr1 Sr 0.0000 0.0000 0.5000
Li1 Li 0.5000 0.5000 0.5000
Ni1 Ni 0.0000 0.0000 0.0000
# * calculated volume: 39.84 A^3/atom
# * E_form: 0.03 eV/atom
# * N(E_F): 2.5 states/eV per cell
# * crystal system: cubic
# * total DFT energy (no corrections): -12.6 eV/cell
# * M_tot: 0.00 μB/atom

calculated volume of number 2 (Tl6ZnIn12)?
29.01 A^3/atom

Which value of total DFT energy (no corrections) does entry 3 give?
-267.3 eV/cell

Which formula does entry 5 have?
MgBNF2